This record from the Alexandria database describes a geometry-optimized Cs2VHO4 structure. The functional is PBE with a Hubbard U.

a = 12.6061 Å, b = 11.0928 Å, c = 6.7231 Å
α = 86.41°, β = 61.43°, γ = 32.16°
Positions (direct):
Cs 0.0452 0.0452 0.7048
Cs 0.2952 0.2952 0.9548
Cs 0.7048 0.7048 0.0452
Cs 0.9548 0.9548 0.2952
V 0.3750 0.3750 0.3750
V 0.6250 0.6250 0.6250
H 0.1250 0.1250 0.1250
H 0.8750 0.8750 0.8750
O 0.0024 0.6602 0.5937
O 0.2437 0.5937 0.6602
O 0.3398 0.9976 0.7563
O 0.4063 0.7563 0.9976
O 0.5937 0.2437 0.0024
O 0.6602 0.0024 0.2437
O 0.7563 0.4063 0.3398
O 0.9976 0.3398 0.4063

Calculated values
Space-group type ... Fddd, No. 70
Relative energy among the computed polymorphs ... 0.2669 eV/atom